Computed, not measured: Zn2CrHg2 after structural relaxation at the PBE-GGA level of DFT.

## Properties
Fermi-level density of states	0.27	states/eV per atom
offset from the most stable computed form	54	meV per atom
total magnetization	0.830	μB/atom

a = 7.5289 Å, b = 7.5289 Å, c = 3.4900 Å
α = 90.00°, β = 90.00°, γ = 90.00°
Space group P4/mbm (No. 127)
Asymmetric unit:
Zn 0.1576 0.3424 0.0000 x4
Cr 0.0000 0.0000 0.5000 x2
Hg 0.1458 0.6458 0.5000 x4

***

Computed, not measured: Er6In6Sn after structural relaxation at the PBE-GGA level of DFT.

## Properties
Fermi-level density of states	0.88	states/eV per atom
energy	-51.631	eV per cell
total magnetization	0.000	μB/atom

a = 6.3343 Å, b = 6.3343 Å, c = 10.3399 Å
α = 90.00°, β = 90.00°, γ = 120.00°
Space group P6/mmm (No. 191)
Asymmetric unit:
Er 0.0000 0.0000 0.1898 x2
Er 0.3333 0.6667 0.0000 x2
Er 0.3333 0.6667 0.5000 x2
In 0.0000 0.5000 0.2487 x6
Sn 0.0000 0.0000 0.5000 x1

***

Computed, not measured: GdThMnZn after structural relaxation at the PBE-GGA level of DFT.

## Properties
Fermi-level density of states	0.89	states/eV per atom
energy	-127.970	eV per cell
total magnetization	1.174	μB/atom

a = 7.1877 Å, b = 7.1877 Å, c = 7.1877 Å
α = 90.00°, β = 90.00°, γ = 90.00°
Space group F-43m (No. 216)
Asymmetric unit:
Gd 0.0000 0.0000 0.0000 x4
Th 0.0000 0.0000 0.5000 x4
Mn 0.2500 0.2500 0.7500 x4
Zn 0.2500 0.2500 0.2500 x4

***

Computed, not measured: ThGa3Fe after structural relaxation at the PBE-GGA level of DFT.

## Properties
Fermi-level density of states	0.54	states/eV per atom
offset from the most stable computed form	0	meV per atom
total magnetization	0.369	μB/atom

a = 6.2253 Å, b = 6.2253 Å, c = 5.5434 Å
α = 90.00°, β = 90.00°, γ = 120.00°
Space group P6_3/mmc (No. 194)
Asymmetric unit:
Th 0.3333 0.6667 0.2500 x2
Ga 0.1898 0.3795 0.7500 x6
Fe 0.0000 0.0000 0.0000 x2

***

Computed, not measured: Ho3HgPb2 after structural relaxation at the PBE-GGA level of DFT.

## Properties
Fermi-level density of states	0.67	states/eV per atom
offset from the most stable computed form	0	meV per atom
total magnetization	0.000	μB/atom

a = 12.4420 Å, b = 4.7332 Å, c = 11.4950 Å
α = 90.00°, β = 90.00°, γ = 90.00°
Space group Pnma (No. 62)
Asymmetric unit:
Ho 0.0312 0.2500 0.1262 x4
Ho 0.1417 0.7500 0.5771 x4
Ho 0.1986 0.2500 0.8183 x4
Hg 0.1617 0.2500 0.3416 x4
Pb 0.0070 0.7500 0.3336 x4
Pb 0.1790 0.7500 0.0395 x4

***

Computed, not measured: PrGaSe3 after structural relaxation at the PBE-GGA level of DFT.

## Properties
total magnetization	0.000	μB/atom
ΔE_f (raw)	-5.9	eV/f.u.

a = 13.0310 Å, b = 9.2033 Å, c = 4.4597 Å
α = 90.00°, β = 91.15°, γ = 90.00°
Space group C2/m (No. 12)
Asymmetric unit:
Pr 0.2348 0.0000 0.2617 x4
Ga 0.0000 0.3104 0.5000 x4
Se 0.1011 0.5000 0.2410 x4
Se 0.1442 0.1976 0.7542 x8

***

Computed, not measured: Y2PSe after structural relaxation at the PBE-GGA level of DFT.

## Properties
Fermi-level density of states	0.61	states/eV per atom
offset from the most stable computed form	495	meV per atom
total magnetization	0.000	μB/atom
ΔE_f (raw)	-5.2	eV/f.u.

a = 3.5731 Å, b = 4.5850 Å, c = 5.4331 Å
α = 90.00°, β = 90.00°, γ = 90.00°
Space group Pmmm (No. 47)
Asymmetric unit:
Y 0.0000 0.0000 0.0000 x1
Y 0.0000 0.5000 0.5000 x1
P 0.5000 0.0000 0.5000 x1
Se 0.5000 0.5000 0.0000 x1

***

Computed, not measured: KLi2Rh after structural relaxation at the PBE-GGA level of DFT.

## Properties
Fermi-level density of states	0.60	states/eV per atom
energy	-32.655	eV per cell
total magnetization	0.092	μB/atom

a = 3.1951 Å, b = 3.1951 Å, c = 30.8208 Å
α = 90.00°, β = 90.00°, γ = 120.00°
Space group R-3m (No. 166, hexagonal axes)
Asymmetric unit:
K 0.0000 0.0000 0.0000 x3
Li 0.0000 0.0000 0.2240 x6
Rh 0.0000 0.0000 0.5000 x3

***

Computed, not measured: ScTaZn after structural relaxation at the PBE-GGA level of DFT.

## Properties
Fermi-level density of states	0.85	states/eV per atom
offset from the most stable computed form	0	meV per atom
total magnetization	0.000	μB/atom

a = 3.2857 Å, b = 14.7907 Å, c = 4.5862 Å
α = 90.00°, β = 90.00°, γ = 90.00°
Space group Cmcm (No. 63)
Asymmetric unit:
Sc 0.0000 0.0782 0.2500 x4
Ta 0.0000 0.2498 0.7500 x4
Zn 0.0000 0.4019 0.2500 x4

***

Computed, not measured: Zr7Te6 after structural relaxation at the PBE-GGA level of DFT.

## Properties
Fermi-level density of states	0.67	states/eV per atom
total magnetization	0.000	μB/atom
ΔE_f (raw)	-6.6	eV/f.u.

a = 6.0798 Å, b = 6.0798 Å, c = 32.2446 Å
α = 90.00°, β = 90.00°, γ = 120.00°
Space group R-3m (No. 166, hexagonal axes)
Asymmetric unit:
Zr 0.0000 0.0000 0.0000 x3
Zr 0.0063 0.5031 0.5748 x18
Te 0.0000 0.0000 0.1674 x6
Te 0.0000 0.0000 0.3145 x6
Te 0.0000 0.0000 0.4272 x6

***

Computed, not measured: TlIn3P after structural relaxation at the PBE-GGA level of DFT.

## Properties
Fermi-level density of states	0.58	states/eV per atom
offset from the most stable computed form	563	meV per atom
total magnetization	0.095	μB/atom

a = 5.6236 Å, b = 5.6236 Å, c = 5.6236 Å
α = 90.00°, β = 90.00°, γ = 90.00°
Space group Pm-3m (No. 221)
Asymmetric unit:
Tl 0.0000 0.0000 0.0000 x1
In 0.0000 0.0000 0.5000 x3
P 0.5000 0.5000 0.5000 x1

***

Computed, not measured: KBaSn2 after structural relaxation at the PBE-GGA level of DFT.

## Properties
Fermi-level density of states	1.23	states/eV per atom
offset from the most stable computed form	463	meV per atom
total magnetization	0.000	μB/atom

a = 9.6634 Å, b = 9.6634 Å, c = 6.5934 Å
α = 90.00°, β = 90.00°, γ = 90.00°
Space group I-42d (No. 122)
Asymmetric unit:
K 0.0000 0.0000 0.0000 x4
Ba 0.0000 0.0000 0.5000 x4
Sn 0.2456 0.2500 0.1250 x8